# 1
# Np2MnCoS5

Crystalline Np2MnCoS5 at its relaxed geometry (PBE-GGA, Alexandria via LeMat-Bulk).

The crystal system is orthorhombic. The raw formation energy is -1.00 eV/atom.

The structure belongs to space group Cmc2_1 (No. 36); the cell edges are 3.6620, 15.5330 and 11.3245 Å and the angles 90.00°, 90.00° and 90.00°. The distinct sites, in fractional coordinates, are Np at (0.0000, 0.1112, 0.0000), Np at (0.0000, 0.1264, 0.3513), Mn at (0.0000, 0.1713, 0.6829), Co at (0.0000, 0.4387, 0.0830), S at (0.0000, 0.0164, 0.6744), S at (0.0000, 0.3058, 0.0162), S at (0.0000, 0.3093, 0.3351), S at (0.0000, 0.3351, 0.6741) and S at (0.0000, 0.4975, 0.9092).

# 2
# NpMnCoSn

Crystalline NpMnCoSn at its relaxed geometry (PBE-GGA, Alexandria via LeMat-Bulk).

The crystal system is cubic. The formation enthalpy at 0 K is 0.02 eV/atom.

The structure belongs to space group F-43m (No. 216); the cell edges are 6.5264, 6.5264 and 6.5264 Å and the angles 90.00°, 90.00° and 90.00°. The distinct sites, in fractional coordinates, are Np at (0.0000, 0.0000, 0.0000), Mn at (0.2500, 0.2500, 0.7500), Co at (0.2500, 0.2500, 0.2500) and Sn at (0.0000, 0.0000, 0.5000).

# 3
# NpMnCoTc

Crystalline NpMnCoTc at its relaxed geometry (PBE-GGA, Alexandria via LeMat-Bulk).

The crystal system is cubic. The formation enthalpy at 0 K is 0.16 eV/atom.

The structure belongs to space group F-43m (No. 216); the cell edges are 6.2477, 6.2477 and 6.2477 Å and the angles 90.00°, 90.00° and 90.00°. The distinct sites, in fractional coordinates, are Np at (0.0000, 0.0000, 0.0000), Mn at (0.0000, 0.0000, 0.5000), Co at (0.2500, 0.2500, 0.7500) and Tc at (0.2500, 0.2500, 0.2500).

| no. | raw total energy (eV/atom) |
| --- | --- |
| 1 | -7.9814 |
| 2 | -8.2870 |
| 3 | -9.7399 |